First-principles (GGA+U) data for a geometry-optimized CeFe2B2O7 structure, as listed in Alexandria.

Computed properties:
DOS(E_F): 0.8870 states/eV per atom
Volume: 15.5 Å³/atom
SG: R32 (155)
Uncorrected energy: -7.592 eV per atom
Crystal system: trigonal
Total magnetization: 0.67 μB/atom

Geometry as POSCAR:
```
CeFe2B2O7
1.0
-0.4541 2.0710 -4.5588
-4.0626 -0.9578 -2.8029
-5.4658 7.0868 0.9914
Ce Fe B O
1 2 2 7
direct
0.0000 0.0000 0.0000
0.5712 0.5712 0.2865
0.4288 0.4288 0.7135
0.7272 0.7272 0.8185
0.2728 0.2728 0.1815
0.2868 0.9931 0.1764
0.9931 0.5436 0.1764
0.5436 0.2868 0.1764
0.5000 0.5000 0.5000
0.7132 0.4564 0.8236
0.4564 0.0069 0.8236
0.0069 0.7132 0.8236
```